Below is crystalline CdPtOF2 at its relaxed geometry, with properties calculated at the PBE-GGA level. Values from VASP.

```
&SYSTEM
  ibrav = 0, nat = 5, ntyp = 4
/
ATOMIC_SPECIES
F 19.00 F.upf
O 16.00 O.upf
Pt 195.08 Pt.upf
Cd 112.41 Cd.upf
CELL_PARAMETERS angstrom
-1.131 -2.236 -3.428
0.790 -3.609 2.094
-4.206 -0.084 1.443
ATOMIC_POSITIONS angstrom
F 0.395 -1.805 1.047
F -0.566 -1.118 -1.714
O -2.103 -0.042 0.721
Pt -2.274 -2.964 0.054
Cd 0.000 0.000 0.000
```

Results
energy relative to the elements, uncorrected: -0.21 eV per atom
energy relative to the lowest polymorph listed for this composition: 0.440 eV/atom
volume: 16.0 Å³ per atom
size of the total moment: 1.98 μB per formula unit